(1)
LaMn3Pt: relaxed, PBE.

space group: Pm-3m
total DFT energy (no corrections): -6.099 eV per atom
size of the total moment: 8.77 μB per formula unit
ΔE_f: 1.597 eV/atom
relative energy among the computed polymorphs: 6.39 eV per formula unit

POSCAR file:
```
LaMn3Pt
1.0
4.627 0.000 0.000
0.000 4.627 0.000
0.000 0.000 4.627
Mn La Pt
3 1 1
Direct
0.500 0.000 0.000 Mn
0.000 0.000 0.500 Mn
0.000 0.500 0.000 Mn
0.000 0.000 0.000 La
0.500 0.500 0.500 Pt
```

(2)
LaMn4Pt: relaxed, PBE.

space group: F-43m
total DFT energy (no corrections): -7.767 eV per atom
size of the total moment: 11.87 μB per formula unit
ΔE_f: 0.174 eV/atom

POSCAR file:
```
LaMn4Pt
1.0
0.000 3.651 3.651
3.651 0.000 3.651
3.651 3.651 0.000
Mn La Pt
4 1 1
Direct
0.624 0.624 0.129 Mn
0.129 0.624 0.624 Mn
0.624 0.129 0.624 Mn
0.624 0.624 0.624 Mn
0.000 0.000 0.000 La
0.250 0.250 0.250 Pt
```

(3)
LaMnPt2: relaxed, PBE.

space group: F-43m
total DFT energy (no corrections): -6.926 eV per atom
size of the total moment: 3.77 μB per formula unit
ΔE_f: -0.382 eV/atom

POSCAR file:
```
LaMnPt2
1.0
-0.598 4.403 1.737
-4.329 1.451 1.383
-0.937 0.629 4.635
Mn Pt La
1 2 1
Direct
0.750 0.750 0.750 Mn
0.250 0.250 0.250 Pt
0.000 0.000 0.000 Pt
0.500 0.500 0.500 La
```